# BeOsPt2N

A geometry-optimized BeOsPt2N structure (PBE, Alexandria via LeMat-Bulk).

POSCAR file:
```
BeOsPt2N
1.0
4.674 0.000 0.000
0.000 4.674 0.000
0.000 0.000 2.943
Be Os Pt N
1 1 2 1
Direct
0.000 0.000 0.000
0.500 0.500 0.000
0.000 0.500 0.500
0.500 0.000 0.500
0.000 0.000 0.500
```

Results
crystal system = tetragonal
VASP energy = -33.29 eV/cell
total moment = 0.6 μB/cell